[1]
## HfNiAgB (GGA-PBE)

Data for crystalline HfNiAgB at its relaxed geometry.

Structure (CIF):
```
data_HfNiAgB
_symmetry_space_group_name_H-M 'F -4 3 m'
_symmetry_Int_Tables_number 216
_symmetry_space_group_name_Hall 'F -4 2 3'
_cell_length_a 6.0728
_cell_length_b 6.0728
_cell_length_c 6.0728
_cell_angle_alpha 90.00
_cell_angle_beta 90.00
_cell_angle_gamma 90.00
loop_
_atom_site_label
_atom_site_type_symbol
_atom_site_fract_x
_atom_site_fract_y
_atom_site_fract_z
Hf1 Hf 0.0000 0.0000 0.0000
Ni1 Ni 0.0000 0.0000 0.5000
Ag1 Ag 0.2500 0.2500 0.7500
B1 B 0.2500 0.2500 0.2500
```

## Properties
For the relative energy among the computed polymorphs, the calculation gives 0.1204 eV per atom.

=====

[2]
## HfNiAgB (GGA-PBE)

Data for crystalline HfNiAgB at its relaxed geometry.

Structure (CIF):
```
data_HfNiAgB
_symmetry_space_group_name_H-M 'F -4 3 m'
_symmetry_Int_Tables_number 216
_symmetry_space_group_name_Hall 'F -4 2 3'
_cell_length_a 6.0344
_cell_length_b 6.0344
_cell_length_c 6.0344
_cell_angle_alpha 90.00
_cell_angle_beta 90.00
_cell_angle_gamma 90.00
loop_
_atom_site_label
_atom_site_type_symbol
_atom_site_fract_x
_atom_site_fract_y
_atom_site_fract_z
Hf1 Hf 0.0000 0.0000 0.0000
Ni1 Ni 0.2500 0.2500 0.7500
Ag1 Ag 0.0000 0.0000 0.5000
B1 B 0.2500 0.2500 0.2500
```

## Properties
For the relative energy among the computed polymorphs, the calculation gives 0.0000 eV per atom.

=====

[3]
## Ag2HgB (GGA-PBE)

Data for crystalline Ag2HgB at its relaxed geometry.

Structure (CIF):
```
data_Ag2HgB
_symmetry_space_group_name_H-M 'F -4 3 m'
_symmetry_Int_Tables_number 216
_symmetry_space_group_name_Hall 'F -4 2 3'
_cell_length_a 6.4680
_cell_length_b 6.4680
_cell_length_c 6.4680
_cell_angle_alpha 90.00
_cell_angle_beta 90.00
_cell_angle_gamma 90.00
loop_
_atom_site_label
_atom_site_type_symbol
_atom_site_fract_x
_atom_site_fract_y
_atom_site_fract_z
Ag1 Ag 0.0000 0.0000 0.0000
Ag2 Ag 0.2500 0.2500 0.2500
Hg1 Hg 0.2500 0.2500 0.7500
B1 B 0.0000 0.0000 0.5000
```

## Properties
The calculation puts the uncorrected energy at -0.166 Ry per atom.

=====

[4]
## AgHg2B (GGA-PBE)

Data for crystalline AgHg2B at its relaxed geometry.

Structure (CIF):
```
data_AgHg2B
_symmetry_space_group_name_H-M 'F -4 3 m'
_symmetry_Int_Tables_number 216
_symmetry_space_group_name_Hall 'F -4 2 3'
_cell_length_a 6.7116
_cell_length_b 6.7116
_cell_length_c 6.7116
_cell_angle_alpha 90.00
_cell_angle_beta 90.00
_cell_angle_gamma 90.00
loop_
_atom_site_label
_atom_site_type_symbol
_atom_site_fract_x
_atom_site_fract_y
_atom_site_fract_z
Ag1 Ag 0.0000 0.0000 0.0000
Hg1 Hg 0.0000 0.0000 0.5000
Hg2 Hg 0.2500 0.2500 0.2500
B1 B 0.2500 0.2500 0.7500
```

## Properties
The calculation puts the uncorrected energy at -0.110 Ry per atom.